No. 1
Ac8Sn5Ge | PBE | relaxed

The space group is I-4 (No. 82) and the conventional cell measures 10.124, 10.124 and 10.181 Å, with angles of 90.00, 90.00 and 90.00 degrees. The inequivalent atoms are Ac at (0.066, 0.191, 0.195), Ac at (0.070, 0.320, 0.555), Sn at (0.000, 0.000, 0.500), Sn at (0.123, 0.250, 0.875) and Ge at (0.000, 0.500, 0.250).

The volume is 37.3 Å³/atom. Its density of states at the Fermi level is 2.39 states/eV per cell. The calculation puts the electronic total energy at -4.80 eV/atom. The total moment comes out at 0.00 μB per cell. As for the formation energy: -691.7 meV/atom.

=====

No. 2
Ac6SnGe2 | PBE | relaxed

The space group is Immm (No. 71) and the conventional cell measures 10.614, 10.890 and 11.215 Å, with angles of 90.00, 90.00 and 90.00 degrees. The inequivalent atoms are Ac at (0.000, 0.202, 0.242), Ac at (0.207, 0.500, 0.177), Ac at (0.226, 0.319, 0.500), Sn at (0.000, 0.000, 0.000), Sn at (0.000, 0.000, 0.500), Ge at (0.000, 0.373, 0.000) and Ge at (0.000, 0.500, 0.385).

The volume is 36.0 Å³/atom. Its density of states at the Fermi level is 33.31 states/eV per cell. The calculation puts the electronic total energy at -4.72 eV/atom. The total moment comes out at 0.00 μB per cell. As for the formation energy: -506.6 meV/atom. The calculation puts the energy above the most stable polymorph in this dataset at 0 meV/atom.

=====

No. 3
Ac7Sn2Ge2 | PBE | relaxed

The space group is Cmmm (No. 65) and the conventional cell measures 9.158, 12.067 and 7.628 Å, with angles of 90.00, 90.00 and 90.00 degrees. The inequivalent atoms are Ac at (0.000, 0.000, 0.000), Ac at (0.000, 0.500, 0.246), Ac at (0.250, 0.250, 0.274), Sn at (0.174, 0.000, 0.500) and Ge at (0.000, 0.271, 0.000).

The volume is 38.3 Å³/atom. Its density of states at the Fermi level is 26.66 states/eV per cell. The calculation puts the electronic total energy at -4.54 eV/atom. The total moment comes out at 0.00 μB per cell. As for the formation energy: -359.0 meV/atom.

=====

No. 4
Ac3SnGe | PBE | relaxed

The space group is Pnma (No. 62) and the conventional cell measures 8.748, 4.814 and 17.627 Å, with angles of 90.00, 90.00 and 90.00 degrees. The inequivalent atoms are Ac at (0.004, 0.250, 0.105), Ac at (0.135, 0.750, 0.446), Ac at (0.158, 0.250, 0.714), Sn at (0.132, 0.250, 0.303) and Ge at (0.220, 0.750, 0.044).

The volume is 37.1 Å³/atom. Its density of states at the Fermi level is 18.22 states/eV per cell. The calculation puts the electronic total energy at -4.82 eV/atom. The total moment comes out at 1.77 μB per cell. As for the formation energy: -626.3 meV/atom. The calculation puts the energy above the most stable polymorph in this dataset at 0 meV/atom.

=====

No. 5
Ac12Sn6Ge | PBE | relaxed

The space group is R-3 (No. 148, hexagonal axes) and the conventional cell measures 14.5469, 14.5469 and 13.5038 Å, with angles of 90.00, 90.00 and 120.00 degrees. The inequivalent atoms are Ac at (0.0338, 0.8301, 0.3914), Ac at (0.0538, 0.8481, 0.8825), Sn at (0.0488, 0.7736, 0.6477) and Ge at (0.0000, 0.0000, 0.0000).

The volume is 43.4 Å³/atom. Its density of states at the Fermi level is 55.23 states/eV per cell. The calculation puts the electronic total energy at -4.52 eV/atom. The total moment comes out at 0.00 μB per cell. As for the formation energy: -421.1 meV/atom.

=====

No. 6
AcSnGe3 | PBE | relaxed

The space group is R3m (No. 160, hexagonal axes) and the conventional cell measures 7.4659, 7.4659 and 8.6492 Å, with angles of 90.00, 90.00 and 120.00 degrees. The inequivalent atoms are Ac at (0.0000, 0.0000, 0.0000), Sn at (0.0000, 0.0000, 0.3882) and Ge at (0.2109, 0.4218, 0.3281).

The volume is 27.8 Å³/atom. Its density of states at the Fermi level is 6.93 states/eV per cell. The calculation puts the electronic total energy at -4.44 eV/atom. The total moment comes out at 0.00 μB per cell. As for the formation energy: -46.0 meV/atom.

=====

No. 7
AcSn4Ge | PBE | relaxed

The space group is F-43m (No. 216) and the conventional cell measures 8.838, 8.838 and 8.838 Å, with angles of 90.00, 90.00 and 90.00 degrees. The inequivalent atoms are Ac at (0.000, 0.000, 0.000), Sn at (0.124, 0.124, 0.376) and Ge at (0.250, 0.250, 0.750).

The volume is 28.8 Å³/atom. Its density of states at the Fermi level is 14.16 states/eV per cell. The calculation puts the electronic total energy at -4.24 eV/atom. The total moment comes out at 0.00 μB per cell. As for the formation energy: -121.6 meV/atom.

=====

No. 8
Ac5Sn2Ge | PBE | relaxed

The space group is Cmcm (No. 63) and the conventional cell measures 6.383, 10.443 and 17.985 Å, with angles of 90.00, 90.00 and 90.00 degrees. The inequivalent atoms are Ac at (0.000, 0.086, 0.101), Ac at (0.000, 0.250, 0.750), Ac at (0.000, 0.414, 0.101), Sn at (0.000, 0.250, 0.566) and Ge at (0.000, 0.250, 0.250).

The volume is 37.5 Å³/atom. Its density of states at the Fermi level is 24.48 states/eV per cell. The calculation puts the electronic total energy at -4.56 eV/atom. The total moment comes out at 0.00 μB per cell. As for the formation energy: -412.6 meV/atom.